The following is a DFT calculation (PBE) of a geometry-optimized Pm4RhSe2S structure.

abc: 4.0856 7.2384 7.3012
angles: 108.98 90.00 90.00
Fractional positions:
Pm (0.5000, 0.7545, 0.7645)
Pm (0.0000, 0.7370, 0.2290)
Pm (0.5000, 0.2455, 0.2355)
Pm (0.0000, 0.2630, 0.7710)
Se (0.5000, 0.0000, 0.5000)
Se (0.0000, 0.5000, 0.5000)
Rh (0.5000, 0.5000, 0.0000)
S (0.0000, 0.0000, 0.0000)

The uncorrected formation energy is -1.576 eV per atom.



The following is a DFT calculation (PBE) of a geometry-optimized SrRe3Os structure.

abc: 4.6238 4.6238 4.6238
angles: 90.00 90.00 90.00
Fractional positions:
Re (0.0000, 0.5000, 0.0000)
Re (0.5000, 0.0000, 0.0000)
Re (0.0000, 0.0000, 0.5000)
Os (0.5000, 0.5000, 0.5000)
Sr (0.0000, 0.0000, 0.0000)

The formation energy from the elements is 4.089 eV per atom.



The following is a DFT calculation (PBE) of a geometry-optimized Th8CoTe3Ir3 structure.

abc: 8.3024 8.3911 9.1021
angles: 117.73 90.00 119.65
Fractional positions:
Te (0.0000, 0.5000, 0.0000)
Te (0.0000, 0.0000, 0.0000)
Te (0.5000, 0.5000, 0.0000)
Th (0.7733, 0.0318, 0.3073)
Th (0.2584, 0.0318, 0.3073)
Th (0.2645, 0.5290, 0.2963)
Th (0.2273, 0.4546, 0.6936)
Th (0.2267, 0.9682, 0.6927)
Th (0.7355, 0.4710, 0.7037)
Th (0.7416, 0.9682, 0.6927)
Th (0.7727, 0.5454, 0.3064)
Ir (0.5000, 0.0000, 0.5000)
Ir (0.5000, 0.5000, 0.5000)
Ir (0.0000, 0.5000, 0.5000)
Co (0.0000, 0.0000, 0.5000)

The uncorrected formation energy is -0.883 eV per atom.



| no. | VASP energy (eV per atom) |
| --- | --- |
| 1 | -6.258 |
| 2 | -5.962 |
| 3 | -7.714 |